## one
Material: SrCdPd3
Method: DFT, PBE
State: optimized geometry

Lattice parameters (Å, degrees): 5.041 5.041 5.041 90.00 90.00 90.00
Positions (direct):
Sr: 0.000 0.000 0.000
Cd: 0.500 0.500 0.500
Pd: 0.000 0.500 0.500
Pd: 0.500 0.000 0.500
Pd: 0.500 0.500 0.000

Properties
DOS at the Fermi energy = 0.326 states/eV/atom
total magnetization = 0.00 μB per formula unit

***

## two
Material: SrCdPd3
Method: DFT, PBE
State: optimized geometry

Lattice parameters (Å, degrees): 6.834 6.834 6.834 144.05 144.05 51.75
Positions (direct):
Sr: 0.000 0.000 0.000
Cd: 0.648 0.648 0.000
Pd: 0.289 0.789 0.500
Pd: 0.431 0.431 0.000
Pd: 0.789 0.289 0.500

Properties
DOS at the Fermi energy = 0.341 states/eV/atom
total magnetization = 0.00 μB per formula unit

***

Energies relative to the most stable structure, in meV per atom: one 408; two 0.

***

## one
Material: Sr3CdPd3
Method: DFT, PBE
State: optimized geometry

Lattice parameters (Å, degrees): 6.034 6.034 14.672 90.00 90.00 135.56
Positions (direct):
Sr: 0.013 0.987 0.750
Sr: 0.292 0.708 0.605
Sr: 0.292 0.708 0.895
Sr: 0.708 0.292 0.105
Sr: 0.708 0.292 0.395
Sr: 0.987 0.013 0.250
Cd: 0.000 0.000 0.000
Cd: 0.000 0.000 0.500
Pd: 0.285 0.715 0.250
Pd: 0.418 0.582 0.090
Pd: 0.418 0.582 0.410
Pd: 0.582 0.418 0.590
Pd: 0.582 0.418 0.910
Pd: 0.715 0.285 0.750

Properties
DOS at the Fermi energy = 0.368 states/eV/atom
total magnetization = 0.00 μB per formula unit

***

## two
Material: Sr3CdPd3
Method: DFT, PBE
State: optimized geometry

Lattice parameters (Å, degrees): 9.233 9.233 6.086 90.00 90.00 120.00
Positions (direct):
Sr: 0.055 0.360 0.250
Sr: 0.305 0.945 0.250
Sr: 0.360 0.305 0.750
Sr: 0.640 0.695 0.250
Sr: 0.695 0.055 0.750
Sr: 0.945 0.640 0.750
Cd: 0.333 0.667 0.750
Cd: 0.667 0.333 0.250
Pd: 0.051 0.363 0.750
Pd: 0.313 0.949 0.750
Pd: 0.363 0.313 0.250
Pd: 0.637 0.687 0.750
Pd: 0.687 0.051 0.250
Pd: 0.949 0.637 0.250

Properties
DOS at the Fermi energy = 0.497 states/eV/atom
total magnetization = 0.00 μB per formula unit

***

Energies relative to the most stable structure, in meV per atom: one 0; two 239.

***

## one
Material: Sr3Cd4Pd2
Method: DFT, PBE
State: optimized geometry

Lattice parameters (Å, degrees): 6.178 6.178 9.352 108.38 108.38 48.00
Positions (direct):
Sr: 0.000 0.000 0.000
Sr: 0.360 0.360 0.317
Sr: 0.640 0.640 0.683
Cd: 0.104 0.104 0.422
Cd: 0.281 0.281 0.932
Cd: 0.719 0.719 0.068
Cd: 0.896 0.896 0.578
Pd: 0.349 0.349 0.678
Pd: 0.651 0.651 0.322

Properties
DOS at the Fermi energy = 0.605 states/eV/atom
total magnetization = 0.00 μB per formula unit

***

## two
Material: Sr3Cd4Pd2
Method: DFT, PBE
State: optimized geometry

Lattice parameters (Å, degrees): 4.884 6.345 9.237 71.90 89.69 67.49
Positions (direct):
Sr: 0.000 0.000 0.000
Sr: 0.391 0.220 0.629
Sr: 0.609 0.780 0.371
Cd: 0.104 0.792 0.643
Cd: 0.293 0.413 0.944
Cd: 0.707 0.587 0.056
Cd: 0.896 0.208 0.357
Pd: 0.274 0.453 0.244
Pd: 0.726 0.547 0.756

Properties
DOS at the Fermi energy = 0.573 states/eV/atom
total magnetization = 0.00 μB per formula unit

***

Energies relative to the most stable structure, in meV per atom: one 0; two 20.

***

## one
Material: Sr4CdPd2
Method: DFT, PBE
State: optimized geometry

Lattice parameters (Å, degrees): 7.904 7.904 8.468 105.18 105.18 74.27
Positions (direct):
Sr: 0.000 0.000 0.000
Sr: 0.003 0.003 0.518
Sr: 0.003 0.545 0.146
Sr: 0.023 0.558 0.655
Sr: 0.514 0.514 0.008
Sr: 0.521 0.521 0.524
Sr: 0.545 0.003 0.146
Sr: 0.558 0.023 0.655
Cd: 0.220 0.220 0.869
Cd: 0.225 0.225 0.370
Pd: 0.322 0.831 0.798
Pd: 0.721 0.721 0.869
Pd: 0.731 0.731 0.376
Pd: 0.831 0.322 0.798

Properties
DOS at the Fermi energy = 0.480 states/eV/atom
total magnetization = 0.00 μB per formula unit

***

## two
Material: Sr4CdPd2
Method: DFT, PBE
State: optimized geometry

Lattice parameters (Å, degrees): 10.702 10.702 10.702 28.01 28.01 28.01
Positions (direct):
Sr: 0.114 0.114 0.114
Sr: 0.297 0.297 0.297
Sr: 0.703 0.703 0.703
Sr: 0.886 0.886 0.886
Cd: 0.500 0.500 0.500
Pd: 0.408 0.408 0.408
Pd: 0.592 0.592 0.592

Properties
DOS at the Fermi energy = 0.582 states/eV/atom
total magnetization = 0.00 μB per formula unit

***

Energies relative to the most stable structure, in meV per atom: one 0; two 36.

***

## one
Material: SrTl2CdPd
Method: DFT, PBE
State: optimized geometry

Lattice parameters (Å, degrees): 5.345 5.345 5.710 90.00 90.00 90.00
Positions (direct):
Sr: 0.000 0.000 0.000
Tl: 0.000 0.500 0.500
Tl: 0.500 0.000 0.500
Cd: 0.500 0.500 0.000
Pd: 0.000 0.000 0.500

Properties
DOS at the Fermi energy = 0.515 states/eV/atom
total magnetization = 0.00 μB per formula unit

***

## two
Material: SrTl2CdPd
Method: DFT, PBE
State: optimized geometry

Lattice parameters (Å, degrees): 5.347 5.347 5.266 90.00 90.00 90.00
Positions (direct):
Sr: 0.000 0.000 0.000
Tl: 0.000 0.500 0.500
Tl: 0.500 0.000 0.500
Cd: 0.500 0.500 0.000
Pd: 0.500 0.500 0.500

Properties
DOS at the Fermi energy = 0.676 states/eV/atom
total magnetization = 0.00 μB per formula unit

***

Energies relative to the most stable structure, in meV per atom: one 16; two 0.

***

## one
Material: Sr2TlCdPd
Method: DFT, PBE
State: optimized geometry

Lattice parameters (Å, degrees): 5.811 5.811 5.237 90.00 90.00 90.00
Positions (direct):
Sr: 0.000 0.500 0.000
Sr: 0.500 0.000 0.000
Tl: 0.000 0.000 0.500
Cd: 0.500 0.500 0.500
Pd: 0.500 0.500 0.000

Properties
DOS at the Fermi energy = 0.704 states/eV/atom
total magnetization = 0.00 μB per formula unit

***

## two
Material: Sr2TlCdPd
Method: DFT, PBE
State: optimized geometry

Lattice parameters (Å, degrees): 5.840 5.840 5.252 90.00 90.00 90.00
Positions (direct):
Sr: 0.000 0.500 0.000
Sr: 0.500 0.000 0.000
Tl: 0.000 0.000 0.500
Cd: 0.500 0.500 0.500
Pd: 0.000 0.000 0.000

Properties
DOS at the Fermi energy = 0.639 states/eV/atom
total magnetization = 0.00 μB per formula unit

***

Energies relative to the most stable structure, in meV per atom: one 0; two 6.

***

## one
Material: SrTlCd2Pd
Method: DFT, PBE
State: optimized geometry

Lattice parameters (Å, degrees): 5.279 5.279 5.632 90.00 90.00 90.00
Positions (direct):
Sr: 0.000 0.000 0.000
Tl: 0.500 0.500 0.000
Cd: 0.000 0.500 0.500
Cd: 0.500 0.000 0.500
Pd: 0.000 0.000 0.500

Properties
DOS at the Fermi energy = 0.632 states/eV/atom
total magnetization = 0.00 μB per formula unit

***

## two
Material: SrTlCd2Pd
Method: DFT, PBE
State: optimized geometry

Lattice parameters (Å, degrees): 5.262 5.262 5.273 90.00 90.00 90.00
Positions (direct):
Sr: 0.000 0.000 0.000
Tl: 0.500 0.500 0.000
Cd: 0.000 0.500 0.500
Cd: 0.500 0.000 0.500
Pd: 0.500 0.500 0.500

Properties
DOS at the Fermi energy = 0.553 states/eV/atom
total magnetization = 0.00 μB per formula unit

***

Energies relative to the most stable structure, in meV per atom: one 43; two 0.

***

## one
Material: SrZn2CdPd
Method: DFT, PBE
State: optimized geometry

Lattice parameters (Å, degrees): 4.908 4.908 5.202 90.00 90.00 90.00
Positions (direct):
Sr: 0.000 0.000 0.000
Zn: 0.000 0.500 0.500
Zn: 0.500 0.000 0.500
Cd: 0.500 0.500 0.000
Pd: 0.500 0.500 0.500

Properties
DOS at the Fermi energy = 0.589 states/eV/atom
total magnetization = 0.00 μB per formula unit

***

## two
Material: SrZn2CdPd
Method: DFT, PBE
State: optimized geometry

Lattice parameters (Å, degrees): 6.576 6.576 6.576 141.16 140.97 56.24
Positions (direct):
Sr: 0.000 0.000 0.000
Zn: 0.386 0.386 0.000
Zn: 0.739 0.239 0.500
Cd: 0.247 0.747 0.500
Pd: 0.603 0.603 0.000

Properties
DOS at the Fermi energy = 0.450 states/eV/atom
total magnetization = 0.00 μB per formula unit

***

Energies relative to the most stable structure, in meV per atom: one 113; two 0.

***

## one
Material: TaCd3Pd
Method: DFT, PBE
State: optimized geometry

Lattice parameters (Å, degrees): 4.965 4.965 4.965 90.00 90.00 90.00
Positions (direct):
Ta: 0.000 0.000 0.000
Cd: 0.000 0.500 0.500
Cd: 0.500 0.000 0.500
Cd: 0.500 0.500 0.000
Pd: 0.500 0.500 0.500

Properties
DOS at the Fermi energy = 1.140 states/eV/atom
total magnetization = 0.00 μB per formula unit

***

## two
Material: TaCd3Pd
Method: DFT, PBE
State: optimized geometry

Lattice parameters (Å, degrees): 5.357 5.357 5.357 90.00 90.00 90.00
Positions (direct):
Ta: 0.000 0.000 0.000
Cd: 0.000 0.000 0.500
Cd: 0.000 0.500 0.000
Cd: 0.500 0.000 0.000
Pd: 0.500 0.500 0.500

Properties
DOS at the Fermi energy = 1.349 states/eV/atom
total magnetization = 0.00 μB per formula unit

***

Energies relative to the most stable structure, in meV per atom: one 0; two 379.

***

## one
Material: TbCd4Pd
Method: DFT, PBE
State: optimized geometry

Lattice parameters (Å, degrees): 7.737 7.737 5.546 103.31 103.31 57.96
Positions (direct):
Tb: 0.217 0.217 0.137
Tb: 0.783 0.783 0.863
Cd: 0.066 0.687 0.429
Cd: 0.206 0.794 0.000
Cd: 0.313 0.934 0.571
Cd: 0.345 0.345 0.730
Cd: 0.655 0.655 0.270
Cd: 0.687 0.066 0.429
Cd: 0.794 0.206 0.000
Cd: 0.934 0.313 0.571
Pd: 0.432 0.432 0.246
Pd: 0.568 0.568 0.754

Properties
DOS at the Fermi energy = 0.420 states/eV/atom
total magnetization = 0.00 μB per formula unit

***

## two
Material: TbCd4Pd
Method: DFT, PBE
State: optimized geometry

Lattice parameters (Å, degrees): 5.699 5.699 5.699 60.00 60.00 60.00
Positions (direct):
Tb: 0.000 0.000 0.000
Cd: 0.127 0.624 0.624
Cd: 0.624 0.127 0.624
Cd: 0.624 0.624 0.127
Cd: 0.624 0.624 0.624
Pd: 0.250 0.250 0.250

Properties
DOS at the Fermi energy = 0.645 states/eV/atom
total magnetization = 0.00 μB per formula unit

***

Energies relative to the most stable structure, in meV per atom: one 0; two 87.

***

## one
Material: Tb2CdPd3
Method: DFT, PBE
State: optimized geometry

Lattice parameters (Å, degrees): 7.430 3.829 17.643 90.00 90.00 90.00
Positions (direct):
Tb: 0.107 0.250 0.211
Tb: 0.154 0.250 0.427
Tb: 0.346 0.750 0.927
Tb: 0.393 0.750 0.711
Tb: 0.607 0.250 0.289
Tb: 0.654 0.250 0.073
Tb: 0.846 0.750 0.573
Tb: 0.893 0.750 0.789
Cd: 0.015 0.750 0.064
Cd: 0.485 0.250 0.564
Cd: 0.515 0.750 0.436
Cd: 0.985 0.250 0.936
Pd: 0.084 0.250 0.659
Pd: 0.205 0.250 0.810
Pd: 0.221 0.750 0.552
Pd: 0.279 0.250 0.052
Pd: 0.295 0.750 0.310
Pd: 0.416 0.750 0.159
Pd: 0.584 0.250 0.841
Pd: 0.705 0.250 0.690
Pd: 0.721 0.750 0.948
Pd: 0.779 0.250 0.448
Pd: 0.795 0.750 0.190
Pd: 0.916 0.750 0.341

Properties
DOS at the Fermi energy = 0.394 states/eV/atom
total magnetization = 0.00 μB per formula unit

***

## two
Material: Tb2CdPd3
Method: DFT, PBE
State: optimized geometry

Lattice parameters (Å, degrees): 7.374 7.374 5.652 90.00 90.00 62.88
Positions (direct):
Tb: 0.010 0.659 0.750
Tb: 0.341 0.990 0.750
Tb: 0.659 0.010 0.250
Tb: 0.990 0.341 0.250
Cd: 0.317 0.683 0.250
Cd: 0.683 0.317 0.750
Pd: 0.000 0.000 0.000
Pd: 0.000 0.000 0.500
Pd: 0.337 0.337 0.000
Pd: 0.337 0.337 0.500
Pd: 0.663 0.663 0.000
Pd: 0.663 0.663 0.500

Properties
DOS at the Fermi energy = 0.376 states/eV/atom
total magnetization = 0.00 μB per formula unit

***

Energies relative to the most stable structure, in meV per atom: one 0; two 113.

***

## one
Material: TbCd2Pd5
Method: DFT, PBE
State: optimized geometry

Lattice parameters (Å, degrees): 7.555 7.555 7.555 122.47 122.47 85.78
Positions (direct):
Tb: 0.250 0.250 0.000
Tb: 0.750 0.750 0.000
Cd: 0.153 0.653 0.807
Cd: 0.347 0.153 0.500
Cd: 0.653 0.847 0.500
Cd: 0.847 0.347 0.193
Pd: 0.000 0.000 0.000
Pd: 0.024 0.809 0.500
Pd: 0.191 0.691 0.215
Pd: 0.309 0.524 0.500
Pd: 0.476 0.976 0.785
Pd: 0.500 0.500 0.000
Pd: 0.524 0.024 0.215
Pd: 0.691 0.476 0.500
Pd: 0.809 0.309 0.785
Pd: 0.976 0.191 0.500

Properties
DOS at the Fermi energy = 0.257 states/eV/atom
total magnetization = 0.00 μB per formula unit

***

## two
Material: TbCd2Pd5
Method: DFT, PBE
State: optimized geometry

Lattice parameters (Å, degrees): 8.481 8.481 8.481 151.21 151.21 41.18
Positions (direct):
Tb: 0.000 0.000 0.000
Cd: 0.252 0.252 0.000
Cd: 0.748 0.748 0.000
Pd: 0.128 0.628 0.500
Pd: 0.372 0.872 0.500
Pd: 0.500 0.500 0.000
Pd: 0.628 0.128 0.500
Pd: 0.872 0.372 0.500

Properties
DOS at the Fermi energy = 0.357 states/eV/atom
total magnetization = 0.00 μB per formula unit

***

Energies relative to the most stable structure, in meV per atom: one 109; two 0.